Entry from Alexandria: an optimized crystal structure of AsPPbCl2 (PBE).

Cell and atoms, written as extended XYZ:
```
5
Lattice="5.539 0.000 0.000 0.000 5.539 0.000 0.000 0.000 5.823" Properties=species:S:1:pos:R:3 pbc="T T T"
As 0.000 0.000 0.000
P 2.769 2.769 0.000
Pb 2.769 2.769 2.911
Cl 0.000 2.769 2.911
Cl 2.769 0.000 2.911
```

## Properties
Formation energy (no corrections) ... 475 meV/atom
Energy above the most stable polymorph in this dataset ... 0.3644 eV per atom
Space group ... P4/mmm
Size of the total moment ... 0.7 Bohr magnetons per cell
VASP energy ... -15.1 eV/cell